Record 1
First-principles (GGA-PBE) data for a relaxed PrGdCoHg crystal, as listed in Alexandria.

Structure (extended XYZ):
```
4
Lattice="5.171 0.000 0.000 2.585 4.478 0.000 2.585 1.493 4.222" Properties=species:S:1:pos:R:3 pbc="T T T"
Gd 0.000 0.000 0.000
Hg 7.756 4.478 3.166
Co 2.585 1.493 1.055
Pr 5.171 2.985 2.111
```

Properties
Energy relative to the elements = -15.1 kJ per mole of atoms
Total magnetization = 1.65 μB/atom
Electronic total energy = -6.723 eV per atom


Record 2
First-principles (GGA-PBE) data for a relaxed LaYIn2 crystal, as listed in Alexandria.

Structure (extended XYZ):
```
4
Lattice="-4.441 2.456 -1.718 -5.053 -1.284 -1.230 -3.205 1.277 5.766" Properties=species:S:1:pos:R:3 pbc="T T T"
In -6.286 1.189 1.217
Y -3.175 0.612 0.705
In -9.557 1.207 -2.756
La -9.524 1.836 2.114
```

Properties
Energy relative to the elements = -32.2 kJ per mole of atoms
Total magnetization = 0.00 μB/atom
Electronic total energy = -4.551 eV per atom


Record 3
First-principles (GGA-PBE) data for a relaxed Tm2Mg2Hg crystal, as listed in Alexandria.

Structure (extended XYZ):
```
5
Lattice="-2.792 4.053 1.432 1.012 -3.737 3.363 4.119 0.365 6.980" Properties=species:S:1:pos:R:3 pbc="T T T"
Tm 1.110 -2.517 4.686
Tm 1.228 3.197 7.089
Mg 1.240 -0.119 7.315
Hg 0.506 -1.869 1.681
Mg 1.099 0.799 4.460
```

Properties
Energy relative to the elements = -17.6 kJ per mole of atoms
Total magnetization = 0.00 μB/atom
Electronic total energy = -2.669 eV per atom


Record 4
First-principles (GGA-PBE) data for a relaxed LaTl2Ir crystal, as listed in Alexandria.

Structure (extended XYZ):
```
4
Lattice="3.425 1.529 3.455 0.258 4.916 1.332 -1.535 1.469 4.636" Properties=species:S:1:pos:R:3 pbc="T T T"
Tl 1.611 5.936 7.067
Ir 1.074 3.957 4.711
Tl 0.537 1.979 2.356
La 0.000 0.000 0.000
```

Properties
Energy relative to the elements = -7.9 kJ per mole of atoms
Total magnetization = 0.00 μB/atom
Electronic total energy = -4.712 eV per atom


Record 5
First-principles (GGA-PBE) data for a relaxed TiP2OsCl crystal, as listed in Alexandria.

Structure (extended XYZ):
```
5
Lattice="-1.862 -0.267 4.391 1.397 -4.557 0.315 3.894 1.313 1.731" Properties=species:S:1:pos:R:3 pbc="T T T"
Os 1.714 -1.756 3.218
Ti 0.000 0.000 0.000
P -0.931 -0.134 2.195
P 0.698 -2.279 0.157
Cl 1.947 0.656 0.865
```

Properties
Total magnetization = 0.65 μB/atom
Offset from the most stable computed form = 294.7 meV/atom
Uncorrected formation energy = 93.10 kJ/mol of atoms
Electronic total energy = -5.393 eV per atom


Record 6
First-principles (GGA-PBE) data for a relaxed AlTlIn4 crystal, as listed in Alexandria.

Structure (extended XYZ):
```
6
Lattice="-0.828 -5.715 2.251 -3.822 -0.919 4.792 -5.401 -2.916 -0.859" Properties=species:S:1:pos:R:3 pbc="T T T"
Tl -7.539 -7.163 4.638
In -3.767 -3.580 2.318
In -4.182 -6.442 3.445
In -6.472 -5.040 1.888
In -5.681 -4.040 4.718
Al 0.000 0.000 0.000
```

Properties
Energy relative to the elements = 21.2 kJ per mole of atoms
Total magnetization = 0.00 μB/atom
Electronic total energy = -2.624 eV per atom


Record 7
First-principles (GGA-PBE) data for a relaxed ZrBe2P crystal, as listed in Alexandria.

Structure (extended XYZ):
```
4
Lattice="-5.943 1.675 -5.257 -7.289 -0.225 -3.547 -7.168 2.561 -2.796" Properties=species:S:1:pos:R:3 pbc="T T T"
P -10.478 2.061 -5.957
Zr -15.309 3.011 -8.704
Be -20.135 3.960 -11.448
Be -5.080 0.999 -2.889
```

Properties
Energy relative to the elements = 33.1 kJ per mole of atoms
Total magnetization = 0.00 μB/atom
Electronic total energy = -5.009 eV per atom


Record 8
First-principles (GGA-PBE) data for a relaxed LiAlC crystal, as listed in Alexandria.

Structure (extended XYZ):
```
6
Lattice="-5.067 -1.343 -1.692 -1.140 -2.433 3.855 -0.617 2.113 2.416" Properties=species:S:1:pos:R:3 pbc="T T T"
Al -1.797 0.932 3.745
Li -4.132 -0.356 2.512
Al -5.828 -2.453 3.437
Li -3.715 -0.987 4.959
C -5.276 -1.281 0.971
C -5.091 -2.639 1.547
```

Properties
Energy relative to the elements = 19.8 kJ per mole of atoms
Total magnetization = 0.00 μB/atom
Electronic total energy = -4.755 eV per atom


Record 9
First-principles (GGA-PBE) data for a relaxed LuPaCdPb crystal, as listed in Alexandria.

Structure (extended XYZ):
```
4
Lattice="5.317 0.000 0.000 2.659 4.605 0.000 2.659 1.535 4.341" Properties=species:S:1:pos:R:3 pbc="T T T"
Pb 7.976 4.605 3.256
Cd 2.659 1.535 1.085
Lu 0.000 0.000 0.000
Pa 5.317 3.070 2.171
```

Properties
Energy relative to the elements = 4.9 kJ per mole of atoms
Total magnetization = 0.35 μB/atom
Electronic total energy = -4.609 eV per atom


Record 10
First-principles (GGA-PBE) data for a relaxed YSn2Pd2 crystal, as listed in Alexandria.

Structure (extended XYZ):
```
10
Lattice="-2.442 -0.113 7.712 -3.136 -7.376 -1.101 2.803 -1.322 0.868" Properties=species:S:1:pos:R:3 pbc="T T T"
Sn -2.011 -1.118 4.793
Y -2.789 -3.744 3.306
Pd -2.850 -6.986 4.533
Pd -1.017 -5.490 0.892
Y 0.000 0.000 0.000
Sn -1.470 -2.659 0.699
Pd 0.075 -1.824 2.947
Sn -4.108 -4.830 5.913
Sn -3.567 -6.371 1.818
Pd -1.758 -3.320 6.588
```

Properties
Energy relative to the elements = -48.2 kJ per mole of atoms
Total magnetization = 0.11 μB/atom
Electronic total energy = -5.470 eV per atom


Record 11
First-principles (GGA-PBE) data for a relaxed CsMgGaSe3 crystal, as listed in Alexandria.

Structure (extended XYZ):
```
12
Lattice="4.020 0.000 0.000 0.000 9.530 -0.658 0.000 -3.296 10.320" Properties=species:S:1:pos:R:3 pbc="T T T"
Se 1.005 -1.571 8.735
Se 1.005 6.294 4.301
Se 3.015 4.149 1.353
Mg 3.015 0.519 9.074
Se 3.015 7.805 0.928
Cs 1.005 1.425 2.199
Se 1.005 2.085 8.310
Ga 3.015 7.397 3.216
Cs 3.015 4.809 7.464
Mg 1.005 5.715 0.589
Ga 1.005 -1.163 6.447
Se 3.015 -0.060 5.362
```

Properties
Total magnetization = 0.00 μB/atom
Uncorrected formation energy = -93.36 kJ/mol of atoms
Electronic total energy = -3.622 eV per atom


Record 12
First-principles (GGA-PBE) data for a relaxed FeRe2Ag crystal, as listed in Alexandria.

Structure (extended XYZ):
```
4
Lattice="-3.053 -2.153 3.136 -3.470 -2.649 -2.176 4.854 0.253 -0.404" Properties=species:S:1:pos:R:3 pbc="T T T"
Re -3.262 -2.401 0.480
Ag -0.938 -2.399 -1.050
Fe -0.730 -2.151 1.606
Re 0.000 0.000 0.000
```

Properties
Energy relative to the elements = 53.5 kJ per mole of atoms
Total magnetization = 0.52 μB/atom
Offset from the most stable computed form = 269.1 meV/atom
Electronic total energy = -8.498 eV per atom


Record 13
First-principles (GGA-PBE) data for a relaxed ErCuRu crystal, as listed in Alexandria.

Structure (extended XYZ):
```
3
Lattice="-2.799 0.338 1.853 -1.770 -1.608 -2.380 3.158 -3.356 2.311" Properties=species:S:1:pos:R:3 pbc="T T T"
Cu -2.040 -1.754 0.311
Ru 0.462 -2.109 1.082
Er -1.505 -4.194 1.562
```

Properties
Energy relative to the elements = -11.0 kJ per mole of atoms
Total magnetization = 0.00 μB/atom
Offset from the most stable computed form = 217.5 meV/atom
Electronic total energy = -6.092 eV per atom


Record 14
First-principles (GGA-PBE) data for a relaxed MnCr2Pb crystal, as listed in Alexandria.

Structure (extended XYZ):
```
4
Lattice="-1.671 2.568 0.094 -0.165 -0.219 3.053 6.057 3.919 0.608" Properties=species:S:1:pos:R:3 pbc="T T T"
Cr 0.577 2.142 1.723
Pb 3.611 4.105 2.028
Cr 0.365 0.236 0.037
Mn 2.696 1.745 0.271
```

Properties
Energy relative to the elements = 41.3 kJ per mole of atoms
Total magnetization = 1.07 μB/atom
Electronic total energy = -7.604 eV per atom


Record 15
First-principles (GGA-PBE) data for a relaxed Rb2ZnIn4Ge3 crystal, as listed in Alexandria.

Structure (extended XYZ):
```
10
Lattice="-1.570 0.953 4.579 -4.375 -2.007 -1.082 3.868 -10.300 3.470" Properties=species:S:1:pos:R:3 pbc="T T T"
Ge -1.681 -2.353 -0.086
Ge 1.934 -5.150 1.735
In -0.737 -4.865 0.760
In -2.972 -0.527 1.748
Zn -1.038 -5.677 3.484
Ge 2.576 -8.474 5.305
In 0.000 0.000 0.000
Rb 0.190 -2.120 3.164
In 1.633 -5.962 4.459
Rb 0.706 -8.707 2.054
```

Properties
Energy relative to the elements = -5.4 kJ per mole of atoms
Total magnetization = 0.00 μB/atom
Electronic total energy = -2.857 eV per atom


Record 16
First-principles (GGA-PBE) data for a relaxed NaIn6Sn6 crystal, as listed in Alexandria.

Structure (extended XYZ):
```
13
Lattice="8.165 0.000 0.000 0.000 8.165 0.000 0.000 0.000 8.165" Properties=species:S:1:pos:R:3 pbc="T T T"
Sn 0.000 4.083 6.139
In 0.000 6.112 4.083
Sn 4.083 6.139 0.000
In 6.112 4.083 0.000
Sn 6.139 0.000 4.083
Na 0.000 0.000 0.000
Sn 4.083 2.027 0.000
Sn 0.000 4.083 2.027
In 4.083 0.000 6.112
In 2.053 4.083 0.000
Sn 2.027 0.000 4.083
In 4.083 0.000 2.053
In 0.000 2.053 4.083
```

Properties
Energy relative to the elements = 21.9 kJ per mole of atoms
Total magnetization = 0.00 μB/atom
Electronic total energy = -2.985 eV per atom


Record 17
First-principles (GGA-PBE) data for a relaxed ZnCrSi2 crystal, as listed in Alexandria.

Structure (extended XYZ):
```
4
Lattice="-3.047 0.494 0.624 -0.795 -1.995 -2.303 0.057 -3.986 3.432" Properties=species:S:1:pos:R:3 pbc="T T T"
Zn -1.907 -1.747 0.019
Si 0.056 -3.921 3.376
Si 0.029 -2.058 1.772
Cr -1.878 -3.740 1.735
```

Properties
Total magnetization = 0.00 μB/atom
Uncorrected formation energy = 4.19 kJ/mol of atoms
Electronic total energy = -5.392 eV per atom


Record 18
First-principles (GGA-PBE) data for a relaxed GaTc2Br2 crystal, as listed in Alexandria.

Structure (extended XYZ):
```
10
Lattice="-4.201 6.797 0.177 -4.760 -3.089 5.630 1.844 1.084 2.154" Properties=species:S:1:pos:R:3 pbc="T T T"
Br -3.306 3.898 0.870
Br -5.655 -0.189 4.937
Tc -5.836 2.661 5.797
Tc -3.098 -0.324 4.954
Ga 0.000 0.000 0.000
Br -6.656 3.923 3.725
Tc -1.281 2.132 2.163
Tc -4.020 5.116 3.006
Br -2.305 -0.214 2.081
Ga -4.481 1.854 2.903
```

Properties
Total magnetization = 0.83 μB/atom
Offset from the most stable computed form = 328.7 meV/atom
Uncorrected formation energy = 100.70 kJ/mol of atoms
Electronic total energy = -4.377 eV per atom


Record 19
First-principles (GGA-PBE) data for a relaxed Y4CdPt crystal, as listed in Alexandria.

Structure (extended XYZ):
```
12
Lattice="7.038 0.000 -0.143 0.000 7.140 0.000 -0.245 0.000 7.336" Properties=species:S:1:pos:R:3 pbc="T T T"
Y 4.601 4.711 4.636
Y 6.128 4.601 1.150
Y 2.609 6.109 1.221
Pt -0.122 3.570 3.668
Cd 3.519 3.570 -0.072
Y 5.712 1.142 2.485
Y 0.666 2.539 6.043
Y 1.082 5.998 4.708
Cd 0.000 0.000 0.000
Y 2.193 2.428 2.556
Y 4.185 1.031 5.971
Pt 3.397 0.000 3.596
```

Properties
Energy relative to the elements = -36.8 kJ per mole of atoms
Total magnetization = 0.00 μB/atom
Offset from the most stable computed form = 236.4 meV/atom
Electronic total energy = -5.850 eV per atom


Record 20
First-principles (GGA-PBE) data for a relaxed SrMoSe crystal, as listed in Alexandria.

Structure (extended XYZ):
```
3
Lattice="-3.929 -0.354 -2.536 -0.016 -2.511 -3.961 -2.313 -4.076 -0.184" Properties=species:S:1:pos:R:3 pbc="T T T"
Se -4.694 -5.206 -5.011
Sr 0.000 0.000 0.000
Mo -3.129 -3.471 -3.341
```

Properties
Total magnetization = 0.11 μB/atom
Offset from the most stable computed form = 518.2 meV/atom
Uncorrected formation energy = 37.59 kJ/mol of atoms
Electronic total energy = -4.943 eV per atom